[1]
# SrAg2Pt2, optimized geometry, DFT PBE-GGA
# Volume in Å³/cell: 199.9
# Formation energy in eV/atom: -0.19
# Energy above the lowest structure with this stoichiometry in meV/atom: 133
data_SrAg2Pt2
_chemical_formula_sum 'Sr2 Ag4 Pt4'
_space_group_name_H-M_alt 'P 4/m b m'
_space_group_IT_number 127
_space_group_name_Hall '-P 4 2ab'
_cell_length_a 7.911
_cell_length_b 7.911
_cell_length_c 3.194
_cell_angle_alpha 90.00
_cell_angle_beta 90.00
_cell_angle_gamma 90.00
loop_
_atom_site_label
_atom_site_fract_x
_atom_site_fract_y
_atom_site_fract_z
Sr1 0.000 0.000 0.000
Ag1 0.168 0.332 0.500
Pt1 0.127 0.627 0.000


[2]
# HfZn11Cu, optimized geometry, DFT PBE-GGA
# Volume in Å³/cell: 387.9
# Formation energy in eV/atom: -0.09
data_HfZn11Cu
_chemical_formula_sum 'Hf2 Zn22 Cu2'
_space_group_name_H-M_alt 'C 1 2/m 1'
_space_group_IT_number 12
_cell_length_a 5.164
_cell_length_b 12.271
_cell_length_c 6.640
_cell_angle_alpha 90.00
_cell_angle_beta 112.80
_cell_angle_gamma 90.00
loop_
_space_group_symop_operation_xyz
'x,y,z'
'-x,-y,-z'
'-x,y,-z'
'x,-y,z'
'x+1/2,y+1/2,z'
'-x+1/2,-y+1/2,-z'
'-x+1/2,y+1/2,-z'
'x+1/2,-y+1/2,z'
loop_
_atom_site_label
_atom_site_fract_x
_atom_site_fract_y
_atom_site_fract_z
Hf1 0.000 0.000 0.000
Zn1 0.000 0.000 0.500
Zn2 0.103 0.395 0.214
Zn3 0.185 0.173 0.353
Zn4 0.250 0.250 0.000
Cu1 0.000 0.500 0.500


[3]
# BeAg4, optimized geometry, DFT PBE-GGA
# Volume in Å³/cell: 159.3
# Formation energy in eV/atom: 0.10
# Energy above the lowest structure with this stoichiometry in meV/atom: 0
data_BeAg4
_chemical_formula_sum 'Be2 Ag8'
_space_group_name_H-M_alt 'I 4/m'
_space_group_IT_number 87
_space_group_name_Hall '-I 4'
_cell_length_a 7.358
_cell_length_b 7.358
_cell_length_c 2.943
_cell_angle_alpha 90.00
_cell_angle_beta 90.00
_cell_angle_gamma 90.00
loop_
_atom_site_label
_atom_site_fract_x
_atom_site_fract_y
_atom_site_fract_z
Be1 0.000 0.000 0.000
Ag1 0.078 0.270 0.500


[4]
# Ni3GeS, optimized geometry, DFT PBE-GGA
# Volume in Å³/cell: 138.6
# ΔE_f (raw) in meV per atom: -314
# Energy above the lowest structure with this stoichiometry in meV/atom: 0
data_Ni3GeS
_chemical_formula_sum 'Ni6 Ge2 S2'
_space_group_name_H-M_alt 'P m c 21'
_space_group_IT_number 26
_cell_length_a 3.685
_cell_length_b 6.556
_cell_length_c 5.739
_cell_angle_alpha 90.00
_cell_angle_beta 90.00
_cell_angle_gamma 90.00
loop_
_space_group_symop_operation_xyz
'x,y,z'
'-x,-y,z+1/2'
'-x,y,z'
'x,-y,z+1/2'
loop_
_atom_site_label
_atom_site_fract_x
_atom_site_fract_y
_atom_site_fract_z
Ni1 0.000 0.082 0.000
Ni2 0.000 0.316 0.584
Ni3 0.500 0.204 0.307
Ge1 0.500 0.147 0.733
S1 0.000 0.369 0.209


[5]
# Cr2InRe, optimized geometry, DFT PBE-GGA
# Volume in Å³/cell: 118.6
# Formation energy in eV/atom: 0.48
data_Cr2InRe
_chemical_formula_sum 'Cr4 In2 Re2'
_space_group_name_H-M_alt 'C 1 2/m 1'
_space_group_IT_number 12
_cell_length_a 9.494
_cell_length_b 3.174
_cell_length_c 4.427
_cell_angle_alpha 90.00
_cell_angle_beta 117.29
_cell_angle_gamma 90.00
loop_
_space_group_symop_operation_xyz
'x,y,z'
'-x,-y,-z'
'-x,y,-z'
'x,-y,z'
'x+1/2,y+1/2,z'
'-x+1/2,-y+1/2,-z'
'-x+1/2,y+1/2,-z'
'x+1/2,-y+1/2,z'
loop_
_atom_site_label
_atom_site_fract_x
_atom_site_fract_y
_atom_site_fract_z
Cr1 0.235 0.000 0.231
In1 0.000 0.000 0.500
Re1 0.000 0.500 0.000


[6]
# BaAg2As, optimized geometry, DFT PBE-GGA
# Volume in Å³/cell: 105.9
# Formation energy in eV/atom: -0.07
data_BaAg2As
_chemical_formula_sum 'Ba1 Ag2 As1'
_space_group_name_H-M_alt 'P 4/m m m'
_space_group_IT_number 123
_space_group_name_Hall '-P 4 2'
_cell_length_a 4.644
_cell_length_b 4.644
_cell_length_c 4.909
_cell_angle_alpha 90.00
_cell_angle_beta 90.00
_cell_angle_gamma 90.00
loop_
_atom_site_label
_atom_site_fract_x
_atom_site_fract_y
_atom_site_fract_z
Ba1 0.000 0.000 0.000
Ag1 0.000 0.500 0.500
As1 0.500 0.500 0.000


[7]
# HfMgZnI2, optimized geometry, DFT PBE-GGA
# Volume in Å³/cell: 160.7
# ΔE_f (raw) in meV per atom: 806
data_HfMgZnI2
_chemical_formula_sum 'Hf1 Mg1 Zn1 I2'
_space_group_name_H-M_alt 'P 4/m m m'
_space_group_IT_number 123
_space_group_name_Hall '-P 4 2'
_cell_length_a 5.609
_cell_length_b 5.609
_cell_length_c 5.106
_cell_angle_alpha 90.00
_cell_angle_beta 90.00
_cell_angle_gamma 90.00
loop_
_atom_site_label
_atom_site_fract_x
_atom_site_fract_y
_atom_site_fract_z
Hf1 0.000 0.000 0.000
Mg1 0.500 0.500 0.000
Zn1 0.500 0.500 0.500
I1 0.000 0.500 0.500


[8]
# La2SiP, optimized geometry, DFT PBE-GGA
# Volume in Å³/cell: 201.0
# ΔE_f (raw) in meV per atom: -711
# Energy above the lowest structure with this stoichiometry in meV/atom: 447
data_La2SiP
_chemical_formula_sum 'La4 Si2 P2'
_space_group_name_H-M_alt 'I m m 2'
_space_group_IT_number 44
_cell_length_a 4.292
_cell_length_b 4.324
_cell_length_c 10.830
_cell_angle_alpha 90.00
_cell_angle_beta 90.00
_cell_angle_gamma 90.00
loop_
_space_group_symop_operation_xyz
'x,y,z'
'-x,-y,z'
'-x,y,z'
'x,-y,z'
'x+1/2,y+1/2,z+1/2'
'-x+1/2,-y+1/2,z+1/2'
'-x+1/2,y+1/2,z+1/2'
'x+1/2,-y+1/2,z+1/2'
loop_
_atom_site_label
_atom_site_fract_x
_atom_site_fract_y
_atom_site_fract_z
La1 0.000 0.000 0.000
La2 0.000 0.500 0.249
Si1 0.000 0.500 0.752
P1 0.000 0.000 0.499


[9]
# LiTiNb2, optimized geometry, DFT PBE-GGA
# Volume in Å³/cell: 265.6
# Formation energy in eV/atom: 0.34
# Energy above the lowest structure with this stoichiometry in meV/atom: 0
data_LiTiNb2
_chemical_formula_sum 'Li4 Ti4 Nb8'
_space_group_name_H-M_alt 'F m -3 m'
_space_group_IT_number 225
_space_group_name_Hall '-F 4 2 3'
_cell_length_a 6.428
_cell_length_b 6.428
_cell_length_c 6.428
_cell_angle_alpha 90.00
_cell_angle_beta 90.00
_cell_angle_gamma 90.00
loop_
_atom_site_label
_atom_site_fract_x
_atom_site_fract_y
_atom_site_fract_z
Li1 0.000 0.000 0.000
Ti1 0.000 0.000 0.500
Nb1 0.250 0.250 0.250


[10]
# CaHo2PuTe4, optimized geometry, DFT PBE-GGA
# Volume in Å³/cell: 480.5
# ΔE_f (raw) in meV per atom: -1304
data_CaHo2PuTe4
_chemical_formula_sum 'Ca2 Ho4 Pu2 Te8'
_space_group_name_H-M_alt 'I -4 m 2'
_space_group_IT_number 119
_space_group_name_Hall 'I -4 -2'
_cell_length_a 6.213
_cell_length_b 6.213
_cell_length_c 12.448
_cell_angle_alpha 90.00
_cell_angle_beta 90.00
_cell_angle_gamma 90.00
loop_
_atom_site_label
_atom_site_fract_x
_atom_site_fract_y
_atom_site_fract_z
Ca1 0.000 0.000 0.000
Ho1 0.000 0.000 0.500
Ho2 0.000 0.500 0.250
Pu1 0.000 0.500 0.750
Te1 0.000 0.000 0.252
Te2 0.000 0.500 0.003


[11]
# Rb2MnHgS4, optimized geometry, DFT PBE-GGA
# Volume in Å³/cell: 1990.0
# ΔE_f (raw) in meV per atom: -621
data_Rb2MnHgS4
_chemical_formula_sum 'Rb16 Mn8 Hg8 S32'
_space_group_name_H-M_alt 'F d d d'
_space_group_IT_number 70
_cell_length_a 6.624
_cell_length_b 12.943
_cell_length_c 23.212
_cell_angle_alpha 90.00
_cell_angle_beta 90.00
_cell_angle_gamma 90.00
loop_
_space_group_symop_operation_xyz
'x,y,z'
'-x,-y,-z'
'-x+1/4,-y+1/4,z'
'x+1/4,y+1/4,-z'
'x,-y+1/4,-z+1/4'
'-x,y+1/4,z+1/4'
'-x+1/4,y,-z+1/4'
'x+1/4,-y,z+1/4'
'x,y+1/2,z+1/2'
'-x,-y+1/2,-z+1/2'
'-x+1/4,-y+3/4,z+1/2'
'x+1/4,y+3/4,-z+1/2'
'x,-y+3/4,-z+3/4'
'-x,y+3/4,z+3/4'
'-x+1/4,y+1/2,-z+3/4'
'x+1/4,-y+1/2,z+3/4'
'x+1/2,y,z+1/2'
'-x+1/2,-y,-z+1/2'
'-x+3/4,-y+1/4,z+1/2'
'x+3/4,y+1/4,-z+1/2'
'x+1/2,-y+1/4,-z+3/4'
'-x+1/2,y+1/4,z+3/4'
'-x+3/4,y,-z+3/4'
'x+3/4,-y,z+3/4'
'x+1/2,y+1/2,z'
'-x+1/2,-y+1/2,-z'
'-x+3/4,-y+3/4,z'
'x+3/4,y+3/4,-z'
'x+1/2,-y+3/4,-z+1/4'
'-x+1/2,y+3/4,z+1/4'
'-x+3/4,y+1/2,-z+1/4'
'x+3/4,-y+1/2,z+1/4'
loop_
_atom_site_label
_atom_site_fract_x
_atom_site_fract_y
_atom_site_fract_z
Rb1 0.125 0.125 0.305
Mn1 0.125 0.125 0.625
Hg1 0.125 0.125 0.125
S1 0.074 0.283 0.823


[12]
# Hg2TeO3, optimized geometry, DFT PBE-GGA
# Volume in Å³/cell: 680.3
# ΔE_f (raw) in meV per atom: -455
data_Hg2TeO3
_chemical_formula_sum 'Hg8 Te4 O12'
_space_group_name_H-M_alt 'C 1 2/c 1'
_space_group_IT_number 15
_cell_length_a 12.715
_cell_length_b 9.543
_cell_length_c 5.679
_cell_angle_alpha 90.00
_cell_angle_beta 99.15
_cell_angle_gamma 90.00
loop_
_space_group_symop_operation_xyz
'x,y,z'
'-x,-y,-z'
'-x,y,-z+1/2'
'x,-y,z+1/2'
'x+1/2,y+1/2,z'
'-x+1/2,-y+1/2,-z'
'-x+1/2,y+1/2,-z+1/2'
'x+1/2,-y+1/2,z+1/2'
loop_
_atom_site_label
_atom_site_fract_x
_atom_site_fract_y
_atom_site_fract_z
Hg1 0.145 0.007 0.339
Te1 0.000 0.429 0.250
O1 0.000 0.238 0.250
O2 0.100 0.481 0.556